Record 1
! GGA-PBE Na2Te2As, optimized geometry; values from VASP
! * excess energy over the best structure of this formula in the dataset: 0.000 eV per atom
! * energy relative to the elements, uncorrected: -0.56 eV per atom
! * magnetization: 0.000 μB per atom
! * symmetry: P2_12_12_1
! * crystal system: orthorhombic
&SYSTEM
  ibrav = 0, nat = 40, ntyp = 3
/
ATOMIC_SPECIES
As 74.92 As.upf
Te 127.60 Te.upf
Na 22.99 Na.upf
CELL_PARAMETERS angstrom
8.916 0.000 0.000
0.000 9.899 0.000
0.000 0.000 14.007
ATOMIC_POSITIONS angstrom
As 5.443 0.203 6.179
As 2.510 6.460 8.898
As 7.931 9.696 13.182
As 6.968 8.388 5.109
As 3.473 5.152 0.825
As 1.948 3.438 1.895
As 6.407 1.511 12.112
As 0.985 4.746 7.829
Te 2.103 7.377 0.999
Te 3.547 5.392 11.053
Te 5.370 0.443 9.958
Te 0.736 9.514 11.182
Te 4.321 6.477 6.967
Te 8.779 8.371 7.041
Te 5.194 5.334 2.825
Te 6.813 2.427 6.004
Te 8.005 9.456 2.954
Te 4.596 1.528 0.037
Te 3.722 0.385 4.179
Te 6.561 7.472 13.008
Te 0.138 3.422 13.970
Te 0.912 4.507 4.049
Te 2.355 2.522 8.003
Te 8.181 4.565 9.828
Na 3.793 3.643 5.278
Na 6.997 7.603 9.740
Na 0.665 6.256 12.281
Na 5.123 8.593 1.726
Na 8.251 1.306 8.729
Na 5.228 3.574 8.848
Na 6.378 2.296 2.737
Na 0.770 1.376 5.160
Na 6.038 4.340 13.412
Na 2.879 9.290 7.599
Na 1.920 2.654 11.270
Na 1.580 0.609 0.595
Na 8.147 6.325 1.844
Na 3.688 8.523 12.163
Na 7.337 5.559 6.409
Na 2.539 7.245 4.267

---

Record 2
! GGA-PBE NaTe2As, optimized geometry; values from VASP
! * energy relative to the elements, uncorrected: -0.32 eV per atom
! * magnetization: 0.000 μB per atom
! * symmetry: Pna2_1
! * crystal system: orthorhombic
&SYSTEM
  ibrav = 0, nat = 16, ntyp = 3
/
ATOMIC_SPECIES
As 74.92 As.upf
Na 22.99 Na.upf
Te 127.60 Te.upf
CELL_PARAMETERS angstrom
6.087 0.000 0.000
0.000 12.428 0.000
0.000 0.000 6.966
ATOMIC_POSITIONS angstrom
As 2.858 12.221 2.059
As 5.901 6.420 5.542
As 5.901 0.206 4.907
As 2.858 6.007 1.424
Na 2.656 3.730 3.753
Na 5.699 8.698 3.214
Na 2.656 9.944 6.697
Na 5.699 2.484 0.269
Te 2.674 8.314 2.652
Te 5.717 10.327 6.136
Te 5.526 5.640 1.171
Te 2.483 0.574 4.654
Te 5.526 11.854 2.313
Te 2.483 6.788 5.796
Te 2.674 2.100 0.831
Te 5.717 4.113 4.314

---

Record 3
! GGA-PBE Na2TlTeAs, optimized geometry; values from VASP
! * energy relative to the elements, uncorrected: 0.47 eV per atom
! * magnetization: 0.412 μB per atom
! * symmetry: P4/mmm
! * crystal system: tetragonal
&SYSTEM
  ibrav = 0, nat = 5, ntyp = 4
/
ATOMIC_SPECIES
As 74.92 As.upf
Na 22.99 Na.upf
Tl 204.38 Tl.upf
Te 127.60 Te.upf
CELL_PARAMETERS angstrom
6.047 0.000 0.000
0.000 5.778 0.000
0.000 0.000 6.047
ATOMIC_POSITIONS angstrom
As 3.024 2.889 3.024
Na 3.024 0.000 0.000
Na 0.000 0.000 3.024
Tl 0.000 0.000 0.000
Te 0.000 2.889 0.000

---

Record 4
! GGA-PBE Na3UTe6As2, optimized geometry; values from VASP
! * energy relative to the elements, uncorrected: -0.46 eV per atom
! * magnetization: 0.254 μB per atom
! * symmetry: C2/m
! * crystal system: monoclinic
&SYSTEM
  ibrav = 0, nat = 12, ntyp = 4
/
ATOMIC_SPECIES
Te 127.60 Te.upf
As 74.92 As.upf
U 238.03 U.upf
Na 22.99 Na.upf
CELL_PARAMETERS angstrom
-7.495 0.111 -0.711
4.237 -3.269 -5.297
0.642 -5.490 5.690
ATOMIC_POSITIONS angstrom
Te 1.392 -2.590 -1.047
Te -0.401 -5.146 2.768
Te -4.009 -6.059 0.728
Te -2.216 -3.503 -3.087
Te 0.114 -7.247 -0.884
Te -2.731 -1.402 0.565
As -3.605 -1.010 -2.232
As 0.347 -2.149 -3.777
U 0.000 0.000 0.000
Na -5.255 -3.187 1.383
Na -1.308 -4.324 -0.160
Na 2.638 -5.461 -1.702

---

Record 5
! GGA-PBE NaTeAs2W, optimized geometry; values from VASP
! * energy relative to the elements, uncorrected: 1.63 eV per atom
! * magnetization: 0.715 μB per atom
! * symmetry: P4/mmm
! * crystal system: tetragonal
&SYSTEM
  ibrav = 0, nat = 5, ntyp = 4
/
ATOMIC_SPECIES
As 74.92 As.upf
Te 127.60 Te.upf
Na 22.99 Na.upf
W 183.84 W.upf
CELL_PARAMETERS angstrom
-2.299 0.420 -4.881
-1.887 -4.804 0.476
-4.485 1.988 2.284
ATOMIC_POSITIONS angstrom
As -2.243 0.994 1.142
As -1.150 0.210 -2.440
Te 0.000 0.000 0.000
Na -0.943 -2.402 0.238
W -4.336 -1.198 -1.061

---

Record 6
! GGA-PBE NaZnTe3As, optimized geometry; values from VASP
! * energy relative to the elements, uncorrected: -0.37 eV per atom
! * magnetization: 0.000 μB per atom
! * symmetry: P2_1/m
! * crystal system: monoclinic
&SYSTEM
  ibrav = 0, nat = 12, ntyp = 4
/
ATOMIC_SPECIES
Na 22.99 Na.upf
Zn 65.41 Zn.upf
Te 127.60 Te.upf
As 74.92 As.upf
CELL_PARAMETERS angstrom
-3.487 -2.135 -1.077
3.749 -2.140 -7.899
2.676 -7.371 5.950
ATOMIC_POSITIONS angstrom
Na 0.492 -2.726 -0.338
Na 2.446 -8.920 -2.688
Zn 1.889 -6.496 -5.689
Zn 1.049 -5.150 2.663
Te 3.490 -7.974 0.355
Te 3.299 -5.703 -3.529
Te 1.913 -7.259 4.046
Te -0.362 -5.943 0.503
Te 1.025 -4.388 -7.071
Te -0.552 -3.673 -3.381
As 1.958 -2.889 -4.766
As 0.979 -8.757 1.740

---

Record 7
! GGA-PBE NaThAs2, optimized geometry; values from VASP
! * excess energy over the best structure of this formula in the dataset: 0.000 eV per atom
! * magnetization: 0.000 μB per atom
! * symmetry: R-3m
! * calculated formation energy: -0.747 eV per atom
! * crystal system: trigonal
&SYSTEM
  ibrav = 0, nat = 4, ntyp = 3
/
ATOMIC_SPECIES
As 74.92 As.upf
Th 232.04 Th.upf
Na 22.99 Na.upf
CELL_PARAMETERS angstrom
4.420 0.000 0.000
2.210 3.828 0.000
2.210 1.276 6.630
ATOMIC_POSITIONS angstrom
As 6.630 3.828 5.113
As 2.210 1.276 1.517
Th 0.000 0.000 0.000
Na 4.420 2.552 3.315

---

Record 8
! GGA-PBE NaTh4As5, optimized geometry; values from VASP
! * magnetization: 0.000 μB per atom
! * symmetry: Immm
! * calculated formation energy: -1.217 eV per atom
! * crystal system: orthorhombic
&SYSTEM
  ibrav = 0, nat = 10, ntyp = 3
/
ATOMIC_SPECIES
Th 232.04 Th.upf
As 74.92 As.upf
Na 22.99 Na.upf
CELL_PARAMETERS angstrom
-1.399 1.412 3.769
3.385 -4.083 2.786
7.154 8.358 -2.885
ATOMIC_POSITIONS angstrom
Th 5.875 2.873 3.513
Th 3.265 2.815 0.157
Th 2.572 0.026 3.354
Th 6.568 5.662 0.316
As 4.219 4.946 2.122
As 8.121 3.500 1.703
As 1.693 -2.041 1.393
As 4.921 0.741 1.548
As 1.019 2.188 1.967
Na 0.000 0.000 0.000

---

> Which of these has the highest magnetization?

NaTeAs2W

---

> Which of these has the highest magnetization?

NaTeAs2W